A relaxed structure of CsTbAu3S4, computed with GGA-PBE.

Results
As for the polymorph energy (0 for the lowest one): 0.0 kJ/mol of atoms. The value obtained for the total energy is -75.94 eV/cell.

Lattice parameters (Å, degrees): 5.815 7.650 11.568 90.00 104.07 90.00
Sites, in units of the cell vectors:
1 Au 0.208 0.065 0.451
2 S 0.453 0.750 0.449
3 Cs 0.718 0.250 0.883
4 S 0.547 0.250 0.551
5 Cs 0.282 0.750 0.117
6 S 0.645 0.750 0.903
7 Au 0.060 0.250 0.202
8 S 0.883 0.512 0.285
9 Tb 0.617 0.250 0.319
10 Au 0.208 0.435 0.451
11 Tb 0.383 0.750 0.681
12 Au 0.792 0.935 0.549
13 Au 0.940 0.750 0.798
14 Au 0.792 0.565 0.549
15 S 0.117 0.488 0.715
16 S 0.355 0.250 0.097
17 S 0.883 0.988 0.285
18 S 0.117 0.012 0.715


A relaxed structure of CsTcAuS3, computed with GGA-PBE.

Results
The value obtained for the total energy is -57.51 eV/cell.

Lattice parameters (Å, degrees): 8.797 8.797 9.741 90.00 90.00 155.70
Sites, in units of the cell vectors:
1 Tc 0.500 0.500 0.000
2 Cs 0.220 0.780 0.750
3 Au 0.896 0.104 0.750
4 Tc 0.500 0.500 0.500
5 Cs 0.780 0.220 0.250
6 S 0.539 0.461 0.750
7 Au 0.104 0.896 0.250
8 S 0.461 0.539 0.250
9 S 0.096 0.904 0.486
10 S 0.904 0.096 0.514
11 S 0.096 0.904 0.014
12 S 0.904 0.096 0.986


A relaxed structure of CsTcTeAuS2, computed with GGA-PBE.

Results
The value obtained for the total energy is -55.30 eV/cell.

Lattice parameters (Å, degrees): 8.887 8.887 10.440 90.00 90.00 155.98
Sites, in units of the cell vectors:
1 Au 0.436 0.564 0.750
2 Te 0.069 0.931 0.750
3 Cs 0.237 0.763 0.250
4 Te 0.931 0.069 0.250
5 S 0.406 0.594 0.528
6 Cs 0.763 0.237 0.750
7 S 0.594 0.406 0.472
8 Tc 0.000 0.000 0.000
9 S 0.406 0.594 0.972
10 Tc 0.000 0.000 0.500
11 S 0.594 0.406 0.028
12 Au 0.564 0.436 0.250


A relaxed structure of CsTe2WAuS, computed with GGA-PBE.

Results
The value obtained for the total energy is -55.97 eV/cell.

Lattice parameters (Å, degrees): 9.220 9.220 9.932 90.00 90.00 153.85
Sites, in units of the cell vectors:
1 Au 0.547 0.453 0.250
2 Te 0.609 0.391 0.005
3 Cs 0.230 0.770 0.250
4 Te 0.609 0.391 0.495
5 Au 0.453 0.547 0.750
6 Te 0.391 0.609 0.995
7 W 0.000 0.000 0.500
8 S 0.962 0.038 0.250
9 Cs 0.770 0.230 0.750
10 Te 0.391 0.609 0.505
11 W 0.000 0.000 0.000
12 S 0.038 0.962 0.750


A relaxed structure of CsZrTeAuS2, computed with GGA-PBE.

Results
The value obtained for the total energy is -59.95 eV/cell.

Lattice parameters (Å, degrees): 8.760 8.760 10.665 90.00 90.00 154.19
Sites, in units of the cell vectors:
1 Zr 0.000 0.000 0.000
2 Au 0.531 0.469 0.250
3 S 0.401 0.599 0.548
4 Cs 0.779 0.221 0.750
5 Au 0.469 0.531 0.750
6 S 0.401 0.599 0.952
7 Te 0.086 0.914 0.750
8 Te 0.914 0.086 0.250
9 S 0.599 0.401 0.452
10 S 0.599 0.401 0.048
11 Cs 0.221 0.779 0.250
12 Zr 0.000 0.000 0.500


A relaxed structure of CsZrTe2AuS, computed with GGA-PBE.

Results
The value obtained for the total energy is -56.19 eV/cell.

Lattice parameters (Å, degrees): 8.920 8.920 10.407 90.00 90.00 153.14
Sites, in units of the cell vectors:
1 Cs 0.247 0.753 0.750
2 Au 0.964 0.036 0.750
3 Te 0.879 0.121 0.531
4 S 0.452 0.548 0.250
5 Te 0.121 0.879 0.031
6 Te 0.121 0.879 0.469
7 Au 0.036 0.964 0.250
8 Zr 0.500 0.500 0.000
9 Te 0.879 0.121 0.969
10 S 0.548 0.452 0.750
11 Cs 0.753 0.247 0.250
12 Zr 0.500 0.500 0.500


A relaxed structure of CsWAuS3, computed with GGA-PBE.

Results
The value obtained for the total energy is -62.54 eV/cell.

Lattice parameters (Å, degrees): 3.844 9.758 8.298 90.00 103.39 90.00
Sites, in units of the cell vectors:
1 S 0.051 0.500 0.102
2 W 0.000 0.250 0.000
3 S 0.399 0.266 0.798
4 S 0.601 0.766 0.202
5 W 0.000 0.750 0.000
6 Au 0.430 0.500 0.860
7 S 0.949 0.000 0.898
8 S 0.601 0.234 0.202
9 Cs 0.740 0.500 0.479
10 Cs 0.260 0.000 0.521
11 S 0.399 0.734 0.798
12 Au 0.570 0.000 0.140


A relaxed structure of CsSb5Au3, computed with GGA-PBE.

Results
The value obtained for the total energy is -30.71 eV/cell.

Lattice parameters (Å, degrees): 6.068 6.068 8.244 90.00 90.00 120.00
Sites, in units of the cell vectors:
1 Sb 0.333 0.667 0.225
2 Sb 0.333 0.667 0.775
3 Au 0.000 0.500 0.500
4 Au 0.500 0.000 0.500
5 Sb 0.667 0.333 0.225
6 Sb 0.667 0.333 0.775
7 Au 0.500 0.500 0.500
8 Cs 0.000 0.000 0.000
9 Sb 0.000 0.000 0.500


A relaxed structure of CsScAu, computed with GGA-PBE.

Results
As for the polymorph energy (0 for the lowest one): 0.0 kJ/mol of atoms. The value obtained for the total energy is -8.98 eV/cell.

Lattice parameters (Å, degrees): 5.309 5.309 5.309 60.00 60.00 60.00
Sites, in units of the cell vectors:
1 Sc 0.750 0.750 0.750
2 Cs 0.250 0.250 0.250
3 Au 0.000 0.000 0.000


A relaxed structure of CsScAu, computed with GGA-PBE.

Results
As for the polymorph energy (0 for the lowest one): 50.6 kJ/mol of atoms. The value obtained for the total energy is -7.41 eV/cell.

Lattice parameters (Å, degrees): 5.129 5.129 5.129 60.00 60.00 60.00
Sites, in units of the cell vectors:
1 Cs 0.000 0.000 0.000
2 Sc 0.750 0.750 0.750
3 Au 0.250 0.250 0.250


A relaxed structure of CsScTe3Au, computed with GGA-PBE.

Results
The value obtained for the total energy is -49.93 eV/cell.

Lattice parameters (Å, degrees): 8.992 8.992 11.089 90.00 90.00 153.51
Sites, in units of the cell vectors:
1 Au 0.041 0.959 0.750
2 Au 0.959 0.041 0.250
3 Cs 0.257 0.743 0.250
4 Sc 0.500 0.500 0.000
5 Te 0.882 0.118 0.464
6 Te 0.882 0.118 0.036
7 Te 0.118 0.882 0.964
8 Te 0.433 0.567 0.750
9 Te 0.118 0.882 0.536
10 Te 0.567 0.433 0.250
11 Cs 0.743 0.257 0.750
12 Sc 0.500 0.500 0.500


A relaxed structure of CsAuSe, computed with GGA-PBE.

Results
The value obtained for the total energy is -39.86 eV/cell.

Lattice parameters (Å, degrees): 7.309 7.221 11.067 90.00 128.47 90.00
Sites, in units of the cell vectors:
1 Se 0.778 0.750 0.061
2 Se 0.778 0.750 0.561
3 Cs 0.335 0.750 0.118
4 Cs 0.335 0.750 0.618
5 Cs 0.665 0.250 0.882
6 Au 0.000 0.500 0.750
7 Cs 0.665 0.250 0.382
8 Au 0.000 0.000 0.750
9 Se 0.222 0.250 0.439
10 Au 0.000 0.000 0.250
11 Au 0.000 0.500 0.250
12 Se 0.222 0.250 0.939